Entry 1:
Below is Rb2Pa3MoO12 after structural relaxation, with properties calculated at the GGA+U level.

Cell lengths 7.8600, 7.8600, 7.8600 Å; angles 61.22, 61.22, 61.22 degrees
Last column: nearest neighbours and their distance in Å.
Sites, in units of the cell vectors:
Rb (0.6145, 0.6145, 0.6145)  6 O 3.29-3.68
Rb (0.3855, 0.3855, 0.3855)  6 O 3.29-3.68
Pa (0.5000, 0.0000, 0.0000)  6 O 2.16-2.20
Pa (0.0000, 0.5000, 0.0000)  6 O 2.16-2.20
Pa (0.0000, 0.0000, 0.5000)  6 O 2.16-2.20
Mo (0.0000, 0.0000, 0.0000)  6 O 1.94
O (0.3222, 0.3222, 0.9311)  2 Pa 2.16
O (0.9426, 0.9426, 0.2878)  1 Mo 1.94
O (0.2878, 0.9426, 0.9426)  1 Mo 1.94
O (0.9311, 0.3222, 0.3222)  2 Pa 2.16
O (0.9426, 0.2878, 0.9426)  1 Mo 1.94
O (0.3222, 0.9311, 0.3222)  2 Pa 2.16
O (0.6778, 0.6778, 0.0689)  2 Pa 2.16
O (0.0574, 0.0574, 0.7122)  1 Mo 1.94
O (0.7122, 0.0574, 0.0574)  1 Mo 1.94
O (0.0689, 0.6778, 0.6778)  2 Pa 2.16
O (0.0574, 0.7122, 0.0574)  1 Mo 1.94
O (0.6778, 0.0689, 0.6778)  2 Pa 2.16

Summary:
The total energy is -8.117 eV per atom. The density of states at the Fermi level comes out at 0.86 states/eV per atom. As for the space group: No. 166.

Entry 2:
Below is RbPaMoO6 after structural relaxation, with properties calculated at the GGA+U level.

Cell lengths 7.9252, 7.5167, 7.7540 Å; angles 118.99, 120.73, 90.00 degrees
Last column: nearest neighbours and their distance in Å.
Sites, in units of the cell vectors:
Rb (0.8795, 0.6295, 0.7591)  5 O 3.22-3.41
Rb (0.1205, 0.3705, 0.2409)  5 O 3.22-3.41
Pa (0.5000, 0.0000, 0.5000)  6 O 2.16-2.19
Pa (0.0000, 0.0000, 0.5000)  6 O 2.16-2.19
Mo (0.5000, 0.5000, 0.0000)  6 O 1.94
Mo (0.5000, 0.0000, 0.0000)  6 O 1.94
O (0.4548, 0.7048, 0.9096)  2 Mo 1.94
O (0.8279, 0.0779, 0.6558)  2 Pa 2.16
O (0.7934, 0.0742, 0.2391)  1 Mo 1.94
O (0.4457, 0.6650, 0.2391)  1 Mo 1.94
O (0.4457, 0.0742, 0.2391)  1 Mo 1.94
O (0.7934, 0.6650, 0.2391)  1 Mo 1.94
O (0.5452, 0.2952, 0.0904)  2 Mo 1.94
O (0.1721, 0.9221, 0.3442)  2 Pa 2.16
O (0.2066, 0.9258, 0.7609)  1 Mo 1.94
O (0.5543, 0.3350, 0.7609)  1 Mo 1.94
O (0.5543, 0.9258, 0.7609)  1 Mo 1.94
O (0.2066, 0.3350, 0.7609)  1 Mo 1.94

Summary:
The total energy is -7.690 eV per atom. The density of states at the Fermi level comes out at 0.00 states/eV per atom. As for the space group: No. 74.

Entry 3:
Below is PaSbMoO6 after structural relaxation, with properties calculated at the GGA+U level.

Cell lengths 5.0883, 5.0883, 10.2469 Å; angles 90.00, 90.00, 90.00 degrees
Last column: nearest neighbours and their distance in Å.
Sites, in units of the cell vectors:
Pa (0.5000, 0.5000, 0.8288)  6 O 2.15-2.26
Pa (0.0000, 0.0000, 0.3288)  6 O 2.15-2.26
Sb (0.5000, 0.5000, 0.4850)  4 O 2.11-2.31
Sb (0.0000, 0.0000, 0.9850)  4 O 2.11-2.31
Mo (0.5000, 0.5000, 0.1628)  6 O 2.04-2.14
Mo (0.0000, 0.0000, 0.6628)  6 O 2.04-2.14
O (0.1797, 0.8203, 0.5007)  1 Mo 2.10, 1 Pa 2.19, 1 Sb 2.31
O (0.8203, 0.1797, 0.5007)  1 Mo 2.10, 1 Pa 2.19, 1 Sb 2.31
O (0.3203, 0.3203, 0.0007)  1 Mo 2.10, 1 Pa 2.19, 1 Sb 2.31
O (0.6797, 0.6797, 0.0007)  1 Mo 2.10, 1 Pa 2.19, 1 Sb 2.31
O (0.2179, 0.7821, 0.1852)  1 Mo 2.04, 1 Pa 2.15
O (0.7821, 0.2179, 0.1852)  1 Mo 2.04, 1 Pa 2.15
O (0.2821, 0.2821, 0.6852)  1 Mo 2.04, 1 Pa 2.15
O (0.7179, 0.7179, 0.6852)  1 Mo 2.04, 1 Pa 2.15
O (0.8139, 0.1861, 0.8258)  1 Sb 2.11, 1 Mo 2.14, 1 Pa 2.26
O (0.1861, 0.8139, 0.8258)  1 Sb 2.11, 1 Mo 2.14, 1 Pa 2.26
O (0.6861, 0.6861, 0.3258)  1 Sb 2.11, 1 Mo 2.14, 1 Pa 2.26
O (0.3139, 0.3139, 0.3258)  1 Sb 2.11, 1 Mo 2.14, 1 Pa 2.26

Summary:
The total energy is -7.855 eV per atom. As for the space group: No. 102.

Entry 4:
Below is Sc2PaMoO8 after structural relaxation, with properties calculated at the GGA+U level.

Cell lengths 4.8566, 4.8558, 6.6193 Å; angles 90.00, 90.00, 90.99 degrees
Last column: nearest neighbours and their distance in Å.
Sites, in units of the cell vectors:
Sc (0.5000, 0.5000, 0.7553)  6 O 2.12-2.18
Sc (0.5000, 0.5000, 0.2447)  6 O 2.12-2.18
Pa (0.0000, 0.0000, 0.5000)  6 O 2.12-2.22
Mo (0.0000, 0.0000, 0.0000)  6 O 1.94-2.05
O (0.1944, 0.8049, 0.2337)  1 Mo 2.05, 1 Sc 2.12, 1 Pa 2.22
O (0.7143, 0.7150, 0.0000)  1 Mo 1.94
O (0.8057, 0.1951, 0.2337)  1 Mo 2.05, 1 Sc 2.12, 1 Pa 2.22
O (0.8056, 0.1951, 0.7663)  1 Mo 2.05, 1 Sc 2.12, 1 Pa 2.22
O (0.2857, 0.2850, 0.0000)  1 Mo 1.94
O (0.1943, 0.8049, 0.7663)  1 Mo 2.05, 1 Sc 2.12, 1 Pa 2.22
O (0.6882, 0.6893, 0.5000)  1 Pa 2.12, 2 Sc 2.12
O (0.3118, 0.3107, 0.5000)  1 Pa 2.12, 2 Sc 2.12

Summary:
The total energy is -8.741 eV per atom. The density of states at the Fermi level comes out at 0.00 states/eV per atom. As for the space group: No. 65.

Entry 5:
Below is SrPaMoO6 after structural relaxation, with properties calculated at the GGA+U level.

Cell lengths 5.6698, 5.6698, 10.3898 Å; angles 90.00, 90.00, 120.00 degrees
Last column: nearest neighbours and their distance in Å.
Sites, in units of the cell vectors:
Sr (0.0000, 0.0000, 0.0000)  6 O 2.59
Sr (0.0000, 0.0000, 0.5000)  6 O 2.59
Pa (0.3333, 0.6667, 0.2500)  6 O 2.18
Pa (0.6667, 0.3333, 0.7500)  6 O 2.18
Mo (0.6667, 0.3333, 0.2500)  6 O 2.01
Mo (0.3333, 0.6667, 0.7500)  6 O 2.01
O (0.6421, 0.6200, 0.1462)  1 Mo 2.01, 1 Pa 2.18
O (0.9779, 0.3579, 0.1462)  1 Mo 2.01, 1 Pa 2.18
O (0.3579, 0.9779, 0.6462)  1 Mo 2.01, 1 Pa 2.18
O (0.0221, 0.6421, 0.8538)  1 Mo 2.01, 1 Pa 2.18
O (0.3800, 0.3579, 0.3538)  1 Mo 2.01, 1 Pa 2.18
O (0.9779, 0.6200, 0.3538)  1 Mo 2.01, 1 Pa 2.18
O (0.6200, 0.9779, 0.8538)  1 Mo 2.01, 1 Pa 2.18
O (0.6421, 0.0221, 0.3538)  1 Mo 2.01, 1 Pa 2.18
O (0.0221, 0.3800, 0.6462)  1 Mo 2.01, 1 Pa 2.18
O (0.3800, 0.0221, 0.1462)  1 Mo 2.01, 1 Pa 2.18
O (0.6200, 0.6421, 0.6462)  1 Mo 2.01, 1 Pa 2.18
O (0.3579, 0.3800, 0.8538)  1 Mo 2.01, 1 Pa 2.18

Summary:
The total energy is -8.091 eV per atom. As for the space group: No. 163.

Entry 6:
Below is Sr2PaMoO8 after structural relaxation, with properties calculated at the GGA+U level.

Cell lengths 5.3458, 5.3430, 6.8677 Å; angles 90.00, 90.00, 92.12 degrees
Last column: nearest neighbours and their distance in Å.
Sites, in units of the cell vectors:
Sr (0.5000, 0.5000, 0.7589)  6 O 2.46-2.55
Sr (0.5000, 0.5000, 0.2411)  6 O 2.46-2.55
Pa (0.0000, 0.0000, 0.5000)  2 O 2.01
Mo (0.0000, 0.0000, 0.0000)  6 O 1.89-2.00
O (0.1685, 0.8309, 0.2206)  1 Mo 2.00
O (0.7456, 0.7461, 0.0000)  1 Mo 1.89
O (0.8315, 0.1691, 0.2206)  1 Mo 2.00
O (0.8315, 0.1691, 0.7794)  1 Mo 2.00
O (0.2544, 0.2539, 0.0000)  1 Mo 1.89
O (0.1685, 0.8309, 0.7794)  1 Mo 2.00
O (0.7292, 0.7297, 0.5000)  1 Pa 2.01
O (0.2708, 0.2703, 0.5000)  1 Pa 2.01

Summary:
The total energy is -7.476 eV per atom. The density of states at the Fermi level comes out at 0.51 states/eV per atom. As for the space group: No. 65.

Entry 7:
Below is SrPa2MoO8 after structural relaxation, with properties calculated at the GGA+U level.

Cell lengths 5.0736, 5.0797, 7.1330 Å; angles 90.00, 90.00, 88.33 degrees
Last column: nearest neighbours and their distance in Å.
Sites, in units of the cell vectors:
Sr (0.0000, 0.0000, 0.5000)  6 O 2.40-2.50
Pa (0.5000, 0.4999, 0.7550)  6 O 2.15-2.25
Pa (0.5000, 0.5001, 0.2450)  6 O 2.15-2.25
Mo (0.0000, 0.0000, 0.0000)  6 O 2.05-2.22
O (0.1974, 0.8012, 0.2103)  1 Mo 2.05, 1 Pa 2.15
O (0.6942, 0.6951, 0.9999)  1 Mo 2.22, 2 Pa 2.25
O (0.8026, 0.1988, 0.2103)  1 Mo 2.05, 1 Pa 2.15
O (0.8026, 0.1988, 0.7897)  1 Mo 2.05, 1 Pa 2.15
O (0.3058, 0.3049, 0.0001)  1 Mo 2.22, 2 Pa 2.25
O (0.1974, 0.8012, 0.7897)  1 Mo 2.05, 1 Pa 2.15
O (0.6698, 0.6718, 0.5000)  2 Pa 2.20, 1 Sr 2.40
O (0.3302, 0.3282, 0.5000)  2 Pa 2.20, 1 Sr 2.40

Summary:
The total energy is -8.632 eV per atom. The density of states at the Fermi level comes out at 0.00 states/eV per atom. As for the space group: No. 10.

Entry 8:
Below is PaTl2MoO8 after structural relaxation, with properties calculated at the GGA+U level.

Cell lengths 5.0491, 5.0455, 6.8131 Å; angles 90.00, 90.00, 90.85 degrees
Last column: nearest neighbours and their distance in Å.
Sites, in units of the cell vectors:
Pa (0.0000, 0.0000, 0.5000)  6 O 2.11-2.23
Tl (0.5000, 0.5000, 0.7584)  6 O 2.27-2.30
Tl (0.5000, 0.5000, 0.2416)  6 O 2.27-2.30
Mo (0.0000, 0.0000, 0.0000)  6 O 1.94-2.06
O (0.1801, 0.8183, 0.2336)  1 Mo 2.06, 1 Pa 2.23, 1 Tl 2.30
O (0.7255, 0.7272, 0.0000)  1 Mo 1.94
O (0.8199, 0.1817, 0.2336)  1 Mo 2.06, 1 Pa 2.23, 1 Tl 2.30
O (0.8199, 0.1817, 0.7664)  1 Mo 2.06, 1 Pa 2.23, 1 Tl 2.30
O (0.2745, 0.2728, 0.0000)  1 Mo 1.94
O (0.1801, 0.8183, 0.7664)  1 Mo 2.06, 1 Pa 2.23, 1 Tl 2.30
O (0.7012, 0.7031, 0.5000)  1 Pa 2.11, 2 Tl 2.27
O (0.2988, 0.2969, 0.5000)  1 Pa 2.11, 2 Tl 2.27

Summary:
The total energy is -6.856 eV per atom. As for the space group: No. 10.

Entry 9:
Below is PaTl4Mo3O12 after structural relaxation, with properties calculated at the GGA+U level.

Cell lengths 7.1940, 7.1940, 7.1940 Å; angles 109.47, 109.47, 109.47 degrees
Last column: nearest neighbours and their distance in Å.
Sites, in units of the cell vectors:
Pa (0.0000, 0.0000, 0.0000)  6 O 2.18
Tl (0.5000, 0.5000, 0.5000)  12 O 2.94
Tl (0.0000, 0.0000, 0.5000)  12 O 2.94
Tl (0.5000, 0.0000, 0.0000)  12 O 2.94
Tl (0.0000, 0.5000, 0.0000)  12 O 2.94
Mo (0.5000, 0.0000, 0.5000)  6 O 1.97-2.08
Mo (0.5000, 0.5000, 0.0000)  6 O 1.97-2.08
Mo (0.0000, 0.5000, 0.5000)  6 O 1.97-2.08
O (0.2500, 0.5000, 0.7500)  2 Mo 2.08
O (0.7372, 0.0000, 0.7372)  1 Mo 1.97, 1 Pa 2.18
O (0.2628, 0.0000, 0.2628)  1 Mo 1.97, 1 Pa 2.18
O (0.7500, 0.5000, 0.2500)  2 Mo 2.08
O (0.7372, 0.7372, 0.0000)  1 Mo 1.97, 1 Pa 2.18
O (0.2628, 0.2628, 0.0000)  1 Mo 1.97, 1 Pa 2.18
O (0.7500, 0.2500, 0.5000)  2 Mo 2.08
O (0.2500, 0.7500, 0.5000)  2 Mo 2.08
O (0.5000, 0.2500, 0.7500)  2 Mo 2.08
O (0.0000, 0.7372, 0.7372)  1 Mo 1.97, 1 Pa 2.18
O (0.5000, 0.7500, 0.2500)  2 Mo 2.08
O (0.0000, 0.2628, 0.2628)  1 Mo 1.97, 1 Pa 2.18

Summary:
The total energy is -6.623 eV per atom. As for the space group: No. 229.